1.
A plane-wave DFT calculation with PBE was carried out for a relaxed structure of Tb6Pr2Y3.

Properties
* ρ: 6.5 g/cm³
* energy relative to the lowest polymorph listed for this composition: 0.0000 eV/atom
* E_tot: -4.9773 eV/atom
* DFT formation energy: 180 meV per atom
* crystal system: monoclinic

Cell: 6.162 10.686 11.791 Å, 90.00 100.15 90.00°
Space group C2/m (No. 12)
Inequivalent atoms, fractional coordinates:
1 Tb 0.249 0.167 0.247 (multiplicity 8)
2 Tb 0.250 0.000 0.753 (multiplicity 4)
3 Pr 0.000 0.167 0.500 (multiplicity 4)
4 Y 0.000 0.000 0.000 (multiplicity 2)
5 Y 0.000 0.335 0.000 (multiplicity 4)


2.
A plane-wave DFT calculation with PBE was carried out for a relaxed structure of Ba3DyPb2O6.

Properties
* ρ: 7.4 g/cm³
* uncorrected formation energy: -2572 kJ/mol of formula units
* E_tot: -6.1831 eV/atom
* crystal system: trigonal

Cell: 6.2470 6.2470 7.1900 Å, 90.00 90.00 120.00°
Space group P-3m1 (No. 164)
Inequivalent atoms, fractional coordinates:
1 Ba 0.0000 0.0000 0.0000 (multiplicity 1)
2 Ba 0.3333 0.6667 0.6175 (multiplicity 2)
3 Dy 0.0000 0.0000 0.5000 (multiplicity 1)
4 Pb 0.3333 0.6667 0.1281 (multiplicity 2)
5 O 0.1690 0.3380 0.3161 (multiplicity 6)